No. 1
! Tb12DyTh2 | Alexandria | PBE-GGA | optimized geometry; values from VASP
! V   32.43 Å³/atom
! Formation enthalpy at 0 K   0.121 eV per atom
! VASP energy   -146.4 eV/cell
&SYSTEM
  ibrav = 0, nat = 30, ntyp = 3
/
ATOMIC_SPECIES
Tb 158.93 Tb.upf
Dy 162.50 Dy.upf
Th 232.04 Th.upf
ATOMIC_POSITIONS crystal
Tb 0.048 0.554 0.201
Tb 0.069 0.597 0.330
Tb 0.130 0.651 0.555
Tb 0.164 0.164 0.564
Tb 0.215 0.215 0.865
Tb 0.232 0.731 0.927
Tb 0.269 0.768 0.073
Tb 0.284 0.284 0.136
Tb 0.349 0.349 0.409
Tb 0.349 0.870 0.445
Tb 0.403 0.931 0.670
Tb 0.446 0.952 0.799
Tb 0.554 0.048 0.201
Tb 0.597 0.069 0.330
Tb 0.651 0.130 0.555
Tb 0.651 0.651 0.591
Tb 0.716 0.716 0.864
Tb 0.731 0.232 0.927
Tb 0.768 0.269 0.073
Tb 0.785 0.785 0.135
Tb 0.836 0.836 0.436
Tb 0.870 0.349 0.445
Tb 0.931 0.403 0.670
Tb 0.952 0.446 0.799
Dy 0.250 0.250 0.000
Dy 0.750 0.750 0.000
Th 0.079 0.079 0.269
Th 0.444 0.444 0.732
Th 0.556 0.556 0.268
Th 0.921 0.921 0.731
CELL_PARAMETERS angstrom
3.539 -5.575 0.000
3.539 5.575 0.000
-1.789 0.000 24.652


No. 2
! K3Np3ZnS8 | Alexandria | PBE-GGA | optimized geometry; values from VASP
! Energy relative to the elements, uncorrected   -1.228 eV per atom
! V   27.13 Å³/atom
! VASP energy   -94.8 eV/cell
&SYSTEM
  ibrav = 0, nat = 15, ntyp = 4
/
ATOMIC_SPECIES
K 39.10 K.upf
Np 237.00 Np.upf
Zn 65.41 Zn.upf
S 32.06 S.upf
ATOMIC_POSITIONS crystal
K 0.000 0.000 0.000
K 0.000 0.500 0.000
K 0.500 0.000 0.000
Np 0.000 0.500 0.500
Np 0.500 0.000 0.500
Np 0.500 0.500 0.500
Zn 0.000 0.000 0.500
S 0.225 0.738 0.689
S 0.231 0.231 0.692
S 0.262 0.775 0.311
S 0.267 0.267 0.299
S 0.733 0.733 0.701
S 0.738 0.225 0.689
S 0.769 0.769 0.308
S 0.775 0.262 0.311
CELL_PARAMETERS angstrom
6.893 -3.963 0.000
6.893 3.963 0.000
-4.605 0.000 7.449


No. 3
! Pr2YTe2Se2 | Alexandria | PBE-GGA | optimized geometry; values from VASP
! Energy relative to the elements, uncorrected   -1.365 eV per atom
! V   32.40 Å³/atom
! VASP energy   -38.8 eV/cell
&SYSTEM
  ibrav = 0, nat = 7, ntyp = 4
/
ATOMIC_SPECIES
Pr 140.91 Pr.upf
Y 88.91 Y.upf
Te 127.60 Te.upf
Se 78.96 Se.upf
ATOMIC_POSITIONS crystal
Pr 0.119 0.119 0.000
Pr 0.881 0.881 0.000
Y 0.500 0.500 0.000
Te 0.314 0.314 0.000
Te 0.686 0.686 0.000
Se 0.000 0.500 0.500
Se 0.500 0.000 0.500
CELL_PARAMETERS angstrom
-2.651 2.651 8.070
2.651 -2.651 8.070
2.651 2.651 -8.070


No. 4
! Zn2GePb | Alexandria | PBE-GGA | optimized geometry; values from VASP
! V   22.04 Å³/atom
! Energy above the most stable polymorph in this dataset   0.30 eV/f.u.
! Formation enthalpy at 0 K   0.241 eV per atom
! VASP energy   -19.8 eV/cell
&SYSTEM
  ibrav = 0, nat = 8, ntyp = 3
/
ATOMIC_SPECIES
Zn 65.41 Zn.upf
Ge 72.64 Ge.upf
Pb 207.20 Pb.upf
ATOMIC_POSITIONS crystal
Zn 0.081 0.625 0.956
Zn 0.375 0.331 0.456
Zn 0.669 0.125 0.044
Zn 0.875 0.919 0.544
Ge 0.000 0.000 0.000
Ge 0.750 0.250 0.500
Pb 0.250 0.750 0.500
Pb 0.500 0.500 0.000
CELL_PARAMETERS angstrom
-3.812 3.812 3.034
3.812 -3.812 3.034
3.812 3.812 -3.034


No. 5
! K4Pm3ErO8 | Alexandria | PBE-GGA | optimized geometry; values from VASP
! Energy relative to the elements, uncorrected   -2.677 eV per atom
! V   17.35 Å³/atom
! VASP energy   -105.7 eV/cell
&SYSTEM
  ibrav = 0, nat = 16, ntyp = 4
/
ATOMIC_SPECIES
K 39.10 K.upf
Pm 145.00 Pm.upf
Er 167.26 Er.upf
O 16.00 O.upf
ATOMIC_POSITIONS crystal
K 0.000 0.000 0.000
K 0.000 0.500 0.500
K 0.500 0.000 0.500
K 0.500 0.500 0.000
Pm 0.000 0.000 0.500
Pm 0.000 0.500 0.000
Pm 0.500 0.000 0.000
Er 0.500 0.500 0.500
O 0.230 0.230 0.230
O 0.238 0.725 0.725
O 0.275 0.275 0.762
O 0.275 0.762 0.275
O 0.725 0.238 0.725
O 0.725 0.725 0.238
O 0.762 0.275 0.275
O 0.770 0.770 0.770
CELL_PARAMETERS angstrom
3.570 2.061 6.289
-3.570 2.061 6.289
0.000 -4.122 6.289


No. 6
! TaCo4Ni | Alexandria | PBE-GGA | optimized geometry; values from VASP
! V   11.98 Å³/atom
! Energy above the most stable polymorph in this dataset   0.00 eV/f.u.
! Formation enthalpy at 0 K   -0.092 eV per atom
! VASP energy   -46.6 eV/cell
&SYSTEM
  ibrav = 0, nat = 6, ntyp = 3
/
ATOMIC_SPECIES
Ta 180.95 Ta.upf
Co 58.93 Co.upf
Ni 58.69 Ni.upf
ATOMIC_POSITIONS crystal
Ta 0.000 0.000 0.000
Co 0.127 0.624 0.624
Co 0.624 0.127 0.624
Co 0.624 0.624 0.127
Co 0.624 0.624 0.624
Ni 0.250 0.250 0.250
CELL_PARAMETERS angstrom
0.000 3.301 3.301
3.301 0.000 3.301
3.301 3.301 0.000


No. 7
! AcBN2 | Alexandria | PBE-GGA | optimized geometry; values from VASP
! Energy relative to the elements, uncorrected   -1.140 eV per atom
! V   15.32 Å³/atom
! Energy above the most stable polymorph in this dataset   0.48 eV/f.u.
! VASP energy   -96.0 eV/cell
&SYSTEM
  ibrav = 0, nat = 12, ntyp = 3
/
ATOMIC_SPECIES
Ac 227.00 Ac.upf
B 10.81 B.upf
N 14.01 N.upf
ATOMIC_POSITIONS crystal
Ac 0.000 0.645 0.167
Ac 0.355 0.355 0.500
Ac 0.645 0.000 0.833
B 0.000 0.734 0.667
B 0.266 0.266 0.000
B 0.734 0.000 0.333
N 0.137 0.375 0.900
N 0.237 0.863 0.566
N 0.375 0.137 0.100
N 0.625 0.763 0.233
N 0.763 0.625 0.767
N 0.863 0.237 0.434
CELL_PARAMETERS angstrom
5.745 0.000 0.000
-2.873 4.975 0.000
0.000 0.000 6.433


No. 8
! SrYSiBr2 | Alexandria | PBE-GGA | optimized geometry; values from VASP
! Energy relative to the elements, uncorrected   -0.217 eV per atom
! V   37.20 Å³/atom
! VASP energy   -18.0 eV/cell
&SYSTEM
  ibrav = 0, nat = 5, ntyp = 4
/
ATOMIC_SPECIES
Sr 87.62 Sr.upf
Y 88.91 Y.upf
Si 28.09 Si.upf
Br 79.90 Br.upf
ATOMIC_POSITIONS crystal
Sr 0.000 0.000 0.000
Y 0.500 0.500 0.500
Si 0.000 0.000 0.500
Br 0.000 0.500 0.000
Br 0.500 0.000 0.000
CELL_PARAMETERS angstrom
5.501 0.000 0.000
0.000 5.501 0.000
0.000 0.000 6.146


No. 9
! Ca3InAu3 | Alexandria | PBE-GGA | optimized geometry; values from VASP
! V   25.04 Å³/atom
! Energy above the most stable polymorph in this dataset   0.00 eV/f.u.
! Formation enthalpy at 0 K   -0.756 eV per atom
! VASP energy   -95.5 eV/cell
&SYSTEM
  ibrav = 0, nat = 28, ntyp = 3
/
ATOMIC_SPECIES
Ca 40.08 Ca.upf
In 114.82 In.upf
Au 196.97 Au.upf
ATOMIC_POSITIONS crystal
Ca 0.055 0.250 0.250
Ca 0.133 0.250 0.631
Ca 0.155 0.750 0.975
Ca 0.345 0.250 0.475
Ca 0.367 0.750 0.131
Ca 0.445 0.750 0.750
Ca 0.555 0.250 0.250
Ca 0.633 0.250 0.869
Ca 0.655 0.750 0.525
Ca 0.845 0.250 0.025
Ca 0.867 0.750 0.369
Ca 0.945 0.750 0.750
In 0.208 0.750 0.363
In 0.292 0.250 0.863
In 0.708 0.750 0.137
In 0.792 0.250 0.637
Au 0.031 0.250 0.914
Au 0.048 0.750 0.468
Au 0.239 0.250 0.174
Au 0.261 0.750 0.674
Au 0.452 0.250 0.968
Au 0.469 0.750 0.414
Au 0.531 0.250 0.586
Au 0.548 0.750 0.032
Au 0.739 0.250 0.326
Au 0.761 0.750 0.826
Au 0.952 0.250 0.532
Au 0.969 0.750 0.086
CELL_PARAMETERS angstrom
16.736 0.000 0.000
0.000 4.613 0.000
0.000 0.000 9.082


No. 10
! CaTb2TmSe4 | Alexandria | PBE-GGA | optimized geometry; values from VASP
! Energy relative to the elements, uncorrected   -1.796 eV per atom
! V   24.25 Å³/atom
! VASP energy   -44.0 eV/cell
&SYSTEM
  ibrav = 0, nat = 8, ntyp = 4
/
ATOMIC_SPECIES
Ca 40.08 Ca.upf
Tb 158.93 Tb.upf
Tm 168.93 Tm.upf
Se 78.96 Se.upf
ATOMIC_POSITIONS crystal
Ca 0.000 0.000 0.000
Tb 0.000 0.500 0.500
Tb 0.500 0.000 0.500
Tm 0.500 0.500 0.000
Se 0.253 0.500 0.248
Se 0.255 0.000 0.756
Se 0.745 0.000 0.244
Se 0.747 0.500 0.752
CELL_PARAMETERS angstrom
7.080 0.000 0.000
0.000 4.075 0.000
-2.330 0.000 6.726


No. 11
! ReIrAu2 | Alexandria | PBE-GGA | optimized geometry; values from VASP
! V   16.38 Å³/atom
! Energy above the most stable polymorph in this dataset   0.15 eV/f.u.
! Formation enthalpy at 0 K   0.159 eV per atom
! VASP energy   -27.2 eV/cell
&SYSTEM
  ibrav = 0, nat = 4, ntyp = 3
/
ATOMIC_SPECIES
Re 186.21 Re.upf
Ir 192.22 Ir.upf
Au 196.97 Au.upf
ATOMIC_POSITIONS crystal
Re 0.000 0.000 0.000
Ir 0.739 0.739 0.739
Au 0.248 0.248 0.248
Au 0.492 0.492 0.492
CELL_PARAMETERS angstrom
1.414 0.816 9.464
-1.414 0.816 9.464
0.000 -1.633 9.464


No. 12
! UBiN | Alexandria | PBE-GGA | optimized geometry; values from VASP
! Energy relative to the elements, uncorrected   -0.876 eV per atom
! V   20.40 Å³/atom
! Energy above the most stable polymorph in this dataset   0.00 eV/f.u.
! VASP energy   -52.2 eV/cell
&SYSTEM
  ibrav = 0, nat = 6, ntyp = 3
/
ATOMIC_SPECIES
U 238.03 U.upf
Bi 208.98 Bi.upf
N 14.01 N.upf
ATOMIC_POSITIONS crystal
U 0.250 0.250 0.141
U 0.750 0.750 0.859
Bi 0.250 0.250 0.619
Bi 0.750 0.750 0.381
N 0.250 0.750 0.000
N 0.750 0.250 0.000
CELL_PARAMETERS angstrom
3.957 0.000 0.000
0.000 3.957 0.000
0.000 0.000 7.818


No. 13
! Tl2CdInCu | Alexandria | PBE-GGA | optimized geometry; values from VASP
! V   28.73 Å³/atom
! Energy above the most stable polymorph in this dataset   0.00 eV/f.u.
! Formation enthalpy at 0 K   0.196 eV per atom
! VASP energy   -11.5 eV/cell
&SYSTEM
  ibrav = 0, nat = 5, ntyp = 4
/
ATOMIC_SPECIES
Tl 204.38 Tl.upf
Cd 112.41 Cd.upf
In 114.82 In.upf
Cu 63.55 Cu.upf
ATOMIC_POSITIONS crystal
Tl 0.000 0.500 0.000
Tl 0.500 0.000 0.000
Cd 0.000 0.000 0.500
In 0.500 0.500 0.500
Cu 0.500 0.500 0.000
CELL_PARAMETERS angstrom
5.319 0.000 0.000
0.000 5.319 0.000
0.000 0.000 5.077


No. 14
! Ca2TlAuI | Alexandria | PBE-GGA | optimized geometry; values from VASP
! Energy relative to the elements, uncorrected   0.011 eV per atom
! V   36.92 Å³/atom
! VASP energy   -11.1 eV/cell
&SYSTEM
  ibrav = 0, nat = 5, ntyp = 4
/
ATOMIC_SPECIES
Ca 40.08 Ca.upf
Tl 204.38 Tl.upf
Au 196.97 Au.upf
I 126.90 I.upf
ATOMIC_POSITIONS crystal
Ca 0.000 0.500 0.000
Ca 0.500 0.000 0.000
Tl 0.000 0.000 0.500
Au 0.500 0.500 0.500
I 0.500 0.500 0.000
CELL_PARAMETERS angstrom
5.849 0.000 0.000
0.000 5.849 0.000
0.000 0.000 5.396


No. 15
! Nd7Ho16Er6 | Alexandria | PBE-GGA | optimized geometry; values from VASP
! V   32.55 Å³/atom
! Formation enthalpy at 0 K   0.187 eV per atom
! VASP energy   -128.6 eV/cell
&SYSTEM
  ibrav = 0, nat = 29, ntyp = 3
/
ATOMIC_SPECIES
Nd 144.24 Nd.upf
Ho 164.93 Ho.upf
Er 167.26 Er.upf
ATOMIC_POSITIONS crystal
Nd 0.000 0.000 0.000
Nd 0.000 0.000 0.500
Nd 0.000 0.500 0.000
Nd 0.000 0.500 0.500
Nd 0.500 0.000 0.000
Nd 0.500 0.000 0.500
Nd 0.500 0.500 0.000
Ho 0.150 0.150 0.150
Ho 0.150 0.150 0.550
Ho 0.150 0.550 0.150
Ho 0.162 0.613 0.613
Ho 0.387 0.387 0.387
Ho 0.387 0.387 0.838
Ho 0.387 0.838 0.387
Ho 0.450 0.850 0.850
Ho 0.550 0.150 0.150
Ho 0.613 0.162 0.613
Ho 0.613 0.613 0.162
Ho 0.613 0.613 0.613
Ho 0.838 0.387 0.387
Ho 0.850 0.450 0.850
Ho 0.850 0.850 0.450
Ho 0.850 0.850 0.850
Er 0.225 0.225 0.775
Er 0.225 0.775 0.225
Er 0.225 0.775 0.775
Er 0.775 0.225 0.225
Er 0.775 0.225 0.775
Er 0.775 0.775 0.225
CELL_PARAMETERS angstrom
0.000 7.786 7.786
7.786 0.000 7.786
7.786 7.786 0.000


No. 16
! Ac2Zn2Au3 | Alexandria | PBE-GGA | optimized geometry; values from VASP
! V   24.66 Å³/atom
! Energy above the most stable polymorph in this dataset   0.00 eV/f.u.
! Formation enthalpy at 0 K   -0.661 eV per atom
! VASP energy   -50.4 eV/cell
&SYSTEM
  ibrav = 0, nat = 14, ntyp = 3
/
ATOMIC_SPECIES
Ac 227.00 Ac.upf
Zn 65.41 Zn.upf
Au 196.97 Au.upf
ATOMIC_POSITIONS crystal
Ac 0.056 0.944 0.750
Ac 0.161 0.839 0.250
Ac 0.839 0.161 0.750
Ac 0.944 0.056 0.250
Zn 0.312 0.688 0.069
Zn 0.312 0.688 0.431
Zn 0.688 0.312 0.569
Zn 0.688 0.312 0.931
Au 0.222 0.778 0.750
Au 0.435 0.565 0.562
Au 0.435 0.565 0.938
Au 0.565 0.435 0.062
Au 0.565 0.435 0.438
Au 0.778 0.222 0.250
CELL_PARAMETERS angstrom
2.186 -10.183 0.000
2.186 10.183 0.000
0.000 0.000 7.755


No. 17
! Tl2NiSb2 | Alexandria | PBE-GGA | optimized geometry; values from VASP
! Energy relative to the elements, uncorrected   0.008 eV per atom
! V   27.17 Å³/atom
! VASP energy   -37.4 eV/cell
&SYSTEM
  ibrav = 0, nat = 10, ntyp = 3
/
ATOMIC_SPECIES
Tl 204.38 Tl.upf
Ni 58.69 Ni.upf
Sb 121.76 Sb.upf
ATOMIC_POSITIONS crystal
Tl 0.179 0.321 0.000
Tl 0.321 0.821 0.000
Tl 0.679 0.179 0.000
Tl 0.821 0.679 0.000
Ni 0.000 0.000 0.500
Ni 0.500 0.500 0.500
Sb 0.154 0.654 0.500
Sb 0.346 0.154 0.500
Sb 0.654 0.846 0.500
Sb 0.846 0.346 0.500
CELL_PARAMETERS angstrom
6.643 0.000 0.000
0.000 6.643 0.000
0.000 0.000 6.157


No. 18
! HgRh | Alexandria | PBE-GGA | optimized geometry; values from VASP
! V   24.87 Å³/atom
! Formation enthalpy at 0 K   0.860 eV per atom
! VASP energy   -11.9 eV/cell
&SYSTEM
  ibrav = 0, nat = 4, ntyp = 2
/
ATOMIC_SPECIES
Hg 200.59 Hg.upf
Rh 102.91 Rh.upf
ATOMIC_POSITIONS crystal
Hg 0.333 0.667 0.250
Hg 0.667 0.333 0.750
Rh 0.333 0.667 0.750
Rh 0.667 0.333 0.250
CELL_PARAMETERS angstrom
4.610 0.000 0.000
-2.305 3.992 0.000
0.000 0.000 5.406


No. 19
! LaPuCu4 | Alexandria | PBE-GGA | optimized geometry; values from VASP
! V   17.88 Å³/atom
! Energy above the most stable polymorph in this dataset   0.24 eV/f.u.
! Formation enthalpy at 0 K   -0.023 eV per atom
! VASP energy   -35.8 eV/cell
&SYSTEM
  ibrav = 0, nat = 6, ntyp = 3
/
ATOMIC_SPECIES
La 138.91 La.upf
Pu 244.00 Pu.upf
Cu 63.55 Cu.upf
ATOMIC_POSITIONS crystal
La 0.000 0.000 0.000
Pu 0.750 0.750 0.750
Cu 0.376 0.376 0.376
Cu 0.376 0.376 0.873
Cu 0.376 0.873 0.376
Cu 0.873 0.376 0.376
CELL_PARAMETERS angstrom
0.000 3.771 3.771
3.771 0.000 3.771
3.771 3.771 0.000


No. 20
! Li3TiTe4 | Alexandria | PBE-GGA | optimized geometry; values from VASP
! Energy relative to the elements, uncorrected   -0.684 eV per atom
! V   29.16 Å³/atom
! VASP energy   -63.4 eV/cell
&SYSTEM
  ibrav = 0, nat = 16, ntyp = 3
/
ATOMIC_SPECIES
Li 6.94 Li.upf
Ti 47.87 Ti.upf
Te 127.60 Te.upf
ATOMIC_POSITIONS crystal
Li 0.000 0.163 0.000
Li 0.240 0.335 0.501
Li 0.260 0.665 0.001
Li 0.500 0.837 0.500
Li 0.740 0.665 0.001
Li 0.760 0.335 0.501
Ti 0.000 0.828 0.417
Ti 0.500 0.172 0.917
Te 0.000 0.141 0.493
Te 0.000 0.825 0.965
Te 0.238 0.675 0.494
Te 0.262 0.325 0.994
Te 0.500 0.175 0.465
Te 0.500 0.859 0.993
Te 0.738 0.325 0.994
Te 0.762 0.675 0.494
CELL_PARAMETERS angstrom
9.587 0.000 0.000
0.000 8.350 0.000
0.000 0.000 5.829